[1]
First-principles (PBE) data for RbRuCl4 after structural relaxation, as listed in Alexandria via LeMat-Bulk.

```
data_RbRuCl4
_chemical_formula_sum 'Rb2 Ru2 Cl8'
_cell_length_a 5.219
_cell_length_b 7.232
_cell_length_c 9.675
_cell_angle_alpha 111.95
_cell_angle_beta 108.66
_cell_angle_gamma 90.00
_space_group_name_H-M_alt 'P 1'
_space_group_IT_number 1
_space_group_name_Hall 'P 1'
loop_
_atom_site_label
_atom_site_fract_x
_atom_site_fract_y
_atom_site_fract_z
_atom_site_occupancy
Rb1 0.203 0.201 0.401 1
Rb2 0.797 0.799 0.599 1
Ru1 0.277 0.454 0.908 1
Ru2 0.723 0.546 0.092 1
Cl1 0.848 0.321 0.641 1
Cl2 0.618 0.861 0.227 1
Cl3 0.000 0.706 0.000 1
Cl4 0.382 0.634 0.773 1
Cl5 0.152 0.679 0.359 1
Cl6 0.382 0.139 0.773 1
Cl7 0.000 0.294 0.000 1
Cl8 0.618 0.366 0.227 1
```

Properties
Uncorrected formation energy (eV per atom): -0.87
Crystal system: monoclinic

[2]
First-principles (PBE) data for Rb2RuCl2 after structural relaxation, as listed in Alexandria via LeMat-Bulk.

```
data_Rb2RuCl2
_chemical_formula_sum 'Rb4 Ru2 Cl4'
_cell_length_a 7.238
_cell_length_b 7.238
_cell_length_c 5.147
_cell_angle_alpha 90.00
_cell_angle_beta 90.00
_cell_angle_gamma 90.00
_space_group_name_H-M_alt 'P 1'
_space_group_IT_number 1
_space_group_name_Hall 'P 1'
loop_
_atom_site_label
_atom_site_fract_x
_atom_site_fract_y
_atom_site_fract_z
_atom_site_occupancy
Ru1 0.000 0.000 0.000 1
Ru2 0.500 0.500 0.000 1
Rb1 0.160 0.660 0.500 1
Rb2 0.660 0.840 0.500 1
Rb3 0.840 0.340 0.500 1
Rb4 0.340 0.160 0.500 1
Cl1 0.324 0.824 0.000 1
Cl2 0.824 0.676 0.000 1
Cl3 0.676 0.176 0.000 1
Cl4 0.176 0.324 0.000 1
```

Properties
Distance to the lowest polymorph of the same formula (kcal/mol of atoms): 3.80
Uncorrected formation energy (eV per atom): -0.37
Crystal system: tetragonal

[3]
First-principles (PBE) data for Rb2RuCl2 after structural relaxation, as listed in Alexandria via LeMat-Bulk.

```
data_Rb2RuCl2
_chemical_formula_sum 'Rb2 Ru1 Cl2'
_cell_length_a 6.646
_cell_length_b 6.646
_cell_length_c 6.442
_cell_angle_alpha 58.95
_cell_angle_beta 58.95
_cell_angle_gamma 90.00
_space_group_name_H-M_alt 'P 1'
_space_group_IT_number 1
_space_group_name_Hall 'P 1'
loop_
_atom_site_label
_atom_site_fract_x
_atom_site_fract_y
_atom_site_fract_z
_atom_site_occupancy
Ru1 0.000 0.000 0.000 1
Rb1 0.750 0.250 0.500 1
Rb2 0.250 0.750 0.500 1
Cl1 0.262 0.262 0.475 1
Cl2 0.738 0.738 0.525 1
```

Properties
Distance to the lowest polymorph of the same formula (kcal/mol of atoms): 0.00
Uncorrected formation energy (eV per atom): -0.53
Crystal system: tetragonal

[4]
First-principles (PBE) data for RbRuSCl2 after structural relaxation, as listed in Alexandria via LeMat-Bulk.

```
data_RbRuSCl2
_chemical_formula_sum 'Rb1 Ru1 S1 Cl2'
_cell_length_a 5.206
_cell_length_b 5.206
_cell_length_c 4.421
_cell_angle_alpha 90.00
_cell_angle_beta 90.00
_cell_angle_gamma 90.00
_space_group_name_H-M_alt 'P 1'
_space_group_IT_number 1
_space_group_name_Hall 'P 1'
loop_
_atom_site_label
_atom_site_fract_x
_atom_site_fract_y
_atom_site_fract_z
_atom_site_occupancy
Ru1 0.000 0.000 0.000 1
S1 0.000 0.000 0.500 1
Rb1 0.500 0.500 0.500 1
Cl1 0.000 0.500 0.000 1
Cl2 0.500 0.000 0.000 1
```

Properties
Distance to the lowest polymorph of the same formula (kcal/mol of atoms): 0.00
Uncorrected formation energy (eV per atom): -0.72
Crystal system: tetragonal

[5]
First-principles (PBE) data for RbRuSCl2 after structural relaxation, as listed in Alexandria via LeMat-Bulk.

```
data_RbRuSCl2
_chemical_formula_sum 'Rb1 Ru1 S1 Cl2'
_cell_length_a 5.793
_cell_length_b 5.793
_cell_length_c 5.886
_cell_angle_alpha 90.00
_cell_angle_beta 90.00
_cell_angle_gamma 90.00
_space_group_name_H-M_alt 'P 1'
_space_group_IT_number 1
_space_group_name_Hall 'P 1'
loop_
_atom_site_label
_atom_site_fract_x
_atom_site_fract_y
_atom_site_fract_z
_atom_site_occupancy
Ru1 0.500 0.500 0.500 1
S1 0.000 0.000 0.500 1
Rb1 0.000 0.000 0.000 1
Cl1 0.000 0.500 0.000 1
Cl2 0.500 0.000 0.000 1
```

Properties
Distance to the lowest polymorph of the same formula (kcal/mol of atoms): 42.32
Uncorrected formation energy (eV per atom): 1.11
Crystal system: tetragonal

[6]
First-principles (PBE) data for RbRuS2Cl after structural relaxation, as listed in Alexandria via LeMat-Bulk.

```
data_RbRuS2Cl
_chemical_formula_sum 'Rb1 Ru1 S2 Cl1'
_cell_length_a 4.597
_cell_length_b 4.597
_cell_length_c 5.571
_cell_angle_alpha 90.00
_cell_angle_beta 90.00
_cell_angle_gamma 90.00
_space_group_name_H-M_alt 'P 1'
_space_group_IT_number 1
_space_group_name_Hall 'P 1'
loop_
_atom_site_label
_atom_site_fract_x
_atom_site_fract_y
_atom_site_fract_z
_atom_site_occupancy
Ru1 0.000 0.000 0.000 1
S1 0.000 0.500 0.000 1
S2 0.500 0.000 0.000 1
Rb1 0.500 0.500 0.500 1
Cl1 0.000 0.000 0.500 1
```

Properties
Distance to the lowest polymorph of the same formula (kcal/mol of atoms): 0.00
Uncorrected formation energy (eV per atom): -0.47
Crystal system: tetragonal

[7]
First-principles (PBE) data for RbRuS2Cl after structural relaxation, as listed in Alexandria via LeMat-Bulk.

```
data_RbRuS2Cl
_chemical_formula_sum 'Rb1 Ru1 S2 Cl1'
_cell_length_a 5.786
_cell_length_b 5.786
_cell_length_c 5.741
_cell_angle_alpha 90.00
_cell_angle_beta 90.00
_cell_angle_gamma 90.00
_space_group_name_H-M_alt 'P 1'
_space_group_IT_number 1
_space_group_name_Hall 'P 1'
loop_
_atom_site_label
_atom_site_fract_x
_atom_site_fract_y
_atom_site_fract_z
_atom_site_occupancy
Ru1 0.500 0.500 0.500 1
S1 0.000 0.500 0.000 1
S2 0.500 0.000 0.000 1
Rb1 0.000 0.000 0.000 1
Cl1 0.000 0.000 0.500 1
```

Properties
Distance to the lowest polymorph of the same formula (kcal/mol of atoms): 46.22
Uncorrected formation energy (eV per atom): 1.53
Crystal system: tetragonal

[8]
First-principles (PBE) data for Rb2RuSeCl after structural relaxation, as listed in Alexandria via LeMat-Bulk.

```
data_Rb2RuSeCl
_chemical_formula_sum 'Rb2 Ru1 Se1 Cl1'
_cell_length_a 6.676
_cell_length_b 5.155
_cell_length_c 6.676
_cell_angle_alpha 90.00
_cell_angle_beta 90.00
_cell_angle_gamma 90.00
_space_group_name_H-M_alt 'P 1'
_space_group_IT_number 1
_space_group_name_Hall 'P 1'
loop_
_atom_site_label
_atom_site_fract_x
_atom_site_fract_y
_atom_site_fract_z
_atom_site_occupancy
Ru1 0.500 0.500 0.500 1
Se1 0.000 0.000 0.000 1
Rb1 0.000 0.000 0.500 1
Rb2 0.500 0.000 0.000 1
Cl1 0.000 0.500 0.000 1
```

Properties
Uncorrected formation energy (eV per atom): 0.52
Crystal system: tetragonal